[1]
A relaxed structure of OsWCl2. Source: the Alexandria database, functional PBEsol.

E ... -6.718 eV/atom
Formation energy from raw total energies ... 791 meV/atom
Density of states at the Fermi level ... 2.93 states/eV/cell

Structure (POSCAR):
```
OsWCl2
1.0
-0.326 2.799 -0.356
-0.873 1.615 2.167
8.841 2.889 3.268
Os Cl W
1 2 1
Cartesian
3.821 3.652 2.540
1.334 1.737 1.103
6.309 5.566 3.976
0.000 0.000 0.000
```

[2]
A relaxed structure of Ag3W2. Source: the Alexandria database, functional PBEsol.

E ... -7.008 eV/atom
Formation energy ... 0.502 eV/atom
Density of states at the Fermi level ... 2.96 states/eV/cell

Structure (POSCAR):
```
Ag3W2
1.0
-2.127 -1.742 -0.330
0.004 -1.808 -2.097
4.845 -9.290 6.190
W Ag
2 3
Cartesian
3.028 -8.853 3.982
-0.306 -3.986 -0.220
1.513 -4.425 1.989
0.000 0.000 0.000
1.209 -8.415 1.773
```

[3]
A relaxed structure of TcPb4. Source: the Alexandria database, functional PBEsol.

E ... -4.922 eV/atom
Formation energy ... 0.530 eV/atom
Density of states at the Fermi level ... 6.75 states/eV/cell

Structure (POSCAR):
```
TcPb4
1.0
-2.670 -4.581 -1.894
1.085 -0.596 5.493
-3.252 4.529 -0.790
Tc Pb
1 4
Cartesian
0.000 0.000 0.000
-1.335 -2.291 -0.947
-2.418 -0.324 1.405
-1.626 2.264 -0.395
0.543 -0.298 2.747
```

[4]
A relaxed structure of TiTc2Mo. Source: the Alexandria database, functional PBEsol.

E ... -10.991 eV/atom
Formation energy ... -0.335 eV/atom
Density of states at the Fermi level ... 1.12 states/eV/cell

Structure (POSCAR):
```
TiTc2Mo
1.0
-0.214 1.281 -4.149
-2.747 -1.959 -2.741
-3.512 2.118 -1.442
Mo Tc Ti
1 2 1
Cartesian
-3.237 0.720 -4.166
-1.618 0.360 -2.083
-4.855 1.080 -6.249
0.000 0.000 0.000
```

[5]
A relaxed structure of PtAuBr2. Source: the Alexandria database, functional PBEsol.

E ... -3.148 eV/atom
Formation energy from raw total energies ... 509 meV/atom
Energy above the lowest structure with this stoichiometry ... 477.4 meV/atom
Density of states at the Fermi level ... 6.75 states/eV/cell

Structure (POSCAR):
```
PtAuBr2
1.0
-0.048 5.795 -2.072
-1.183 -2.042 -5.684
-4.769 -1.561 4.886
Br Au Pt
4 2 2
Cartesian
-3.755 -0.744 2.578
-1.677 3.796 -2.680
-4.322 1.217 -1.066
-2.247 0.116 -4.572
0.000 0.000 0.000
-3.284 -0.863 -2.338
-2.716 3.056 -0.532
-0.616 1.877 -3.878
```

[6]
A relaxed structure of LiZn2Br. Source: the Alexandria database, functional PBEsol.

E ... -1.569 eV/atom
Formation energy from raw total energies ... 181 meV/atom
Energy above the lowest structure with this stoichiometry ... 574.6 meV/atom
Density of states at the Fermi level ... 0.88 states/eV/cell

Structure (POSCAR):
```
LiZn2Br
1.0
-2.477 3.353 -2.911
-2.971 -1.630 -3.790
-5.053 0.437 0.363
Br Li Zn
1 1 2
Cartesian
0.000 0.000 0.000
-5.251 1.080 -3.169
-2.625 0.540 -1.585
-7.876 1.620 -4.754
```

[7]
A relaxed structure of CdIn8. Source: the Alexandria database, functional PBEsol.

E ... -2.774 eV/atom
Formation energy ... 0.010 eV/atom
Density of states at the Fermi level ... 4.01 states/eV/cell

Structure (POSCAR):
```
CdIn8
1.0
-0.347 -3.416 2.835
6.736 -3.044 0.652
1.264 2.632 6.822
In Cd
8 1
Cartesian
4.300 -4.314 2.320
0.298 -0.287 3.188
4.926 -1.167 2.693
2.090 -2.146 1.167
5.240 -1.406 5.940
3.074 0.755 4.782
2.414 -2.422 4.369
0.620 -0.497 6.469
0.000 0.000 0.000
```

[8]
A relaxed structure of PSeCl. Source: the Alexandria database, functional PBEsol.

E ... -3.560 eV/atom
Formation energy from raw total energies ... 323 meV/atom
Density of states at the Fermi level ... 1.36 states/eV/cell

Structure (POSCAR):
```
PSeCl
1.0
4.448 0.000 0.000
2.224 3.852 0.000
2.224 1.284 3.631
Se Cl P
1 1 1
Cartesian
0.000 0.000 0.000
4.448 2.568 1.816
2.224 1.284 0.908
```

[9]
A relaxed structure of SnSb3Br. Source: the Alexandria database, functional PBEsol.

E ... -3.218 eV/atom
Formation energy from raw total energies ... 742 meV/atom
Density of states at the Fermi level ... 4.15 states/eV/cell

Structure (POSCAR):
```
SnSb3Br
1.0
5.587 0.000 0.000
0.000 5.587 0.000
0.000 0.000 5.587
Sn Sb Br
1 3 1
Cartesian
0.000 0.000 0.000
0.000 0.000 2.794
2.794 0.000 0.000
0.000 2.794 0.000
2.794 2.794 2.794
```

[10]
A relaxed structure of Y2ZrCo. Source: the Alexandria database, functional PBEsol.

E ... -7.286 eV/atom
Energy above the lowest structure with this stoichiometry ... 0.0 meV/atom
Formation energy ... 0.332 eV/atom
Density of states at the Fermi level ... 6.28 states/eV/cell

Structure (POSCAR):
```
Y2ZrCo
1.0
4.111 0.000 0.000
0.000 4.111 0.000
-2.056 -2.056 5.084
Co Y Zr
1 2 1
Cartesian
0.000 2.056 2.542
0.000 0.000 0.000
2.056 0.000 2.542
2.056 2.056 0.000
```

[11]
A relaxed structure of CuSi2Hg. Source: the Alexandria database, functional PBEsol.

E ... -3.812 eV/atom
Formation energy from raw total energies ... 287 meV/atom
Density of states at the Fermi level ... 1.46 states/eV/cell

Structure (POSCAR):
```
CuSi2Hg
1.0
2.677 0.000 0.000
0.000 2.677 0.000
0.000 0.000 9.567
Hg Cu Si
1 1 2
Cartesian
1.338 1.338 4.783
1.338 1.338 0.000
0.000 0.000 7.815
0.000 0.000 1.752
```

[12]
A relaxed structure of BaNaPO4. Source: the Alexandria database, functional PBEsol.

E ... -6.945 eV/atom
Formation energy from raw total energies ... -2611 meV/atom
Energy above the lowest structure with this stoichiometry ... 24.4 meV/atom
Density of states at the Fermi level ... 0.00 states/eV/cell

Structure (POSCAR):
```
BaNaPO4
1.0
5.394 0.000 0.000
0.000 7.802 0.000
0.000 0.000 10.033
P Ba O Na
4 4 16 4
Cartesian
1.349 1.955 0.711
4.046 1.946 5.727
1.349 5.856 4.306
4.046 5.847 9.323
4.046 4.079 3.124
1.349 7.624 8.140
1.349 3.723 6.909
4.046 0.178 1.893
5.317 5.219 8.698
2.620 2.583 1.335
0.077 6.484 3.681
4.046 5.499 0.813
4.046 7.385 9.121
1.349 0.416 0.912
1.349 6.204 5.830
5.317 1.318 6.352
4.046 3.485 5.929
2.774 5.219 8.698
2.774 1.318 6.352
1.349 2.303 9.220
4.046 1.598 4.204
0.077 2.583 1.335
1.349 4.317 4.105
2.620 6.484 3.681
4.046 6.899 5.527
1.349 4.804 0.510
1.349 0.903 4.507
4.046 2.998 9.523
```